# Sr2SmGeSe5

Sr2SmGeSe5 after structural relaxation (PBE-GGA, the Alexandria database).

Structure (POSCAR):
```
Sr2SmGeSe5
1.0
4.369 0.000 0.000
-2.185 9.361 0.000
0.000 0.000 12.568
Sr Sm Ge Se
4 2 2 10
Direct
0.879 0.759 0.822
0.116 0.233 0.682
0.121 0.241 0.322
0.884 0.767 0.182
0.791 0.582 0.524
0.209 0.418 0.024
0.555 0.110 0.942
0.445 0.890 0.442
0.359 0.719 0.004
0.681 0.361 0.865
0.499 0.998 0.767
0.293 0.585 0.678
0.956 0.911 0.539
0.641 0.281 0.504
0.319 0.639 0.365
0.501 0.002 0.267
0.707 0.415 0.178
0.044 0.089 0.039
```

Summary:
magnetic moment = 0.000 μB/atom
formation energy (no corrections) = -1492 meV/atom
DOS(E_F) = 0.14 states/eV per atom
E = -87.1 eV/cell

# CuNi2HgGe

CuNi2HgGe after structural relaxation (PBE-GGA, the Alexandria database).

Structure (POSCAR):
```
CuNi2HgGe
1.0
-3.513 2.414 -2.164
-3.260 -1.803 3.279
0.809 3.743 2.862
Ni Ge Hg Cu
2 1 1 1
Direct
0.000 0.000 0.500
0.500 0.000 0.000
0.000 0.500 0.000
0.000 0.000 0.000
0.500 0.500 0.500
```

Summary:
magnetic moment = 0.149 μB/atom
DFT formation energy = 1402 meV per atom
DOS(E_F) = 0.96 states/eV per atom
E = -13.6 eV/cell

# SrYCd2

SrYCd2 after structural relaxation (PBE-GGA, the Alexandria database).

Structure (POSCAR):
```
SrYCd2
1.0
6.720 0.056 0.389
5.630 3.670 0.389
2.286 0.690 4.996
Cd Sr Y
2 1 1
Direct
0.983 0.983 0.038
0.278 0.278 0.202
0.516 0.516 0.497
0.723 0.723 0.763
```

Summary:
magnetic moment = 0.000 μB/atom
DFT formation energy = -187 meV per atom
DOS(E_F) = 0.65 states/eV per atom
E = -10.7 eV/cell

# TmZr3Hg4

TmZr3Hg4 after structural relaxation (PBE-GGA, the Alexandria database).

Structure (POSCAR):
```
TmZr3Hg4
1.0
3.560 0.000 0.000
0.000 3.560 0.000
0.000 0.000 14.210
Tm Hg Zr
1 4 3
Direct
0.500 0.500 0.000
0.000 0.000 0.868
0.000 0.000 0.132
0.000 0.000 0.378
0.000 0.000 0.622
0.500 0.500 0.257
0.500 0.500 0.500
0.500 0.500 0.743
```

Summary:
magnetic moment = 0.000 μB/atom
DFT formation energy = -209 meV per atom
DOS(E_F) = 0.96 states/eV per atom
E = -33.0 eV/cell

# Zr2CuPb

Zr2CuPb after structural relaxation (PBE-GGA, the Alexandria database).

Structure (POSCAR):
```
Zr2CuPb
1.0
5.241 -0.018 -0.011
1.528 5.013 0.011
-3.377 -2.508 3.126
Cu Pb Zr
1 1 2
Direct
0.750 0.250 0.500
0.250 0.750 0.500
0.000 0.000 0.000
0.500 0.500 0.000
```

Summary:
magnetic moment = 0.000 μB/atom
DFT formation energy = -107 meV per atom
DOS(E_F) = 0.97 states/eV per atom
E = -25.3 eV/cell